VASP calculation (PBE) on a relaxed structure of Tc2AgTe.

Computed properties:
uncorrected formation energy: 0.5748 eV/atom
VASP energy: -6.106 eV per atom
mass density: 9.748 Mg/m³
M_tot: 0.000 Bohr magnetons per cell

Lattice parameters (Å, degrees): 5.8583 5.8583 5.8583 150.13 132.33 57.27
Sites, in units of the cell vectors:
Tc  0.0000  0.0000  0.0000
Tc  0.8087  0.3087  0.5000
Ag  0.5210  0.5210  0.0000
Te  0.2332  0.7332  0.5000